No. 1
Density functional theory data (GGA-PBE) for crystalline RbCuTc2P at its relaxed geometry.

The structure belongs to space group P4/mmm (No. 123); the cell edges are 4.8938, 4.8938 and 5.2645 Å and the angles 90.00°, 90.00° and 90.00°. The asymmetric unit holds Rb at (0.0000, 0.0000, 0.0000), Cu at (0.5000, 0.5000, 0.5000), Tc at (0.0000, 0.5000, 0.0000) and P at (0.0000, 0.0000, 0.5000).

As for the formation energy: 3203 meV/atom.

***

No. 2
Density functional theory data (GGA-PBE) for crystalline Sm3HoN4 at its relaxed geometry.

The structure belongs to space group P2/c (No. 13); the cell edges are 6.1552, 7.1137 and 6.1549 Å and the angles 90.00°, 109.45° and 90.00°. The asymmetric unit holds Sm at (0.0000, 0.1245, 0.2500), Sm at (0.0000, 0.3724, 0.7500), Sm at (0.5000, 0.3727, 0.2500), Ho at (0.5000, 0.1248, 0.7500), N at (0.2522, 0.3686, 0.5040) and N at (0.2563, 0.1241, 0.9987).

The calculation puts the uncorrected formation energy at -1.536 eV per atom. The calculation puts the energy above the most stable polymorph in this dataset at 0.0 meV/atom.

***

Number 1: calculated density 4.952 g/cm3. Number 2: calculated density 8.783 g/cm3.